No. 1
# SrH6PdRh

An optimized crystal structure of SrH6PdRh (PBE, the Alexandria database). Values from VASP.

Results
* energy: -37.03 eV/f.u.
* total moment: 0.0 μB/cell
* symmetry: C2 (5)

The structure in Quantum ESPRESSO input format:
```
&SYSTEM
  ibrav = 0, nat = 9, ntyp = 4
/
ATOMIC_SPECIES
Sr 87.62 Sr.upf
H 1.01 H.upf
Pd 106.42 Pd.upf
Rh 102.91 Rh.upf
ATOMIC_POSITIONS crystal
Sr 0.0000 0.0000 0.0000
H 0.2958 0.2790 0.4995
H 0.5179 0.0186 0.7411
H 0.5206 0.0187 0.2592
H 0.7210 0.7042 0.5005
H 0.9813 0.4794 0.7408
H 0.9814 0.4821 0.2589
Pd 0.3399 0.6601 0.5000
Rh 0.6607 0.3393 0.5000
CELL_PARAMETERS angstrom
2.4295 -4.5005 0.0000
2.4295 4.5005 0.0000
-0.0015 0.0000 4.1918
```


No. 2
# Sr2H12PdRh3

An optimized crystal structure of Sr2H12PdRh3 (PBE, the Alexandria database). Values from VASP.

Results
* energy: -76.80 eV/f.u.
* total moment: 0.0 μB/cell
* symmetry: R-3m (166)

The structure in Quantum ESPRESSO input format:
```
&SYSTEM
  ibrav = 0, nat = 18, ntyp = 4
/
ATOMIC_SPECIES
Sr 87.62 Sr.upf
H 1.01 H.upf
Pd 106.42 Pd.upf
Rh 102.91 Rh.upf
ATOMIC_POSITIONS crystal
Sr 0.1247 0.1247 0.1247
Sr 0.8753 0.8753 0.8753
H 0.1534 0.5887 0.5887
H 0.1625 0.1625 0.5842
H 0.1625 0.5842 0.1625
H 0.4113 0.4113 0.8466
H 0.4113 0.8466 0.4113
H 0.4158 0.8375 0.8375
H 0.5842 0.1625 0.1625
H 0.5887 0.1534 0.5887
H 0.5887 0.5887 0.1534
H 0.8375 0.4158 0.8375
H 0.8375 0.8375 0.4158
H 0.8466 0.4113 0.4113
Pd 0.5000 0.5000 0.5000
Rh 0.0000 0.5000 0.5000
Rh 0.5000 0.0000 0.5000
Rh 0.5000 0.5000 0.0000
CELL_PARAMETERS angstrom
3.1079 1.7944 5.1346
-3.1079 1.7944 5.1346
0.0000 -3.5887 5.1346
```


No. 3
# Sr2H6PdRh

An optimized crystal structure of Sr2H6PdRh (PBE, the Alexandria database). Values from VASP.

Results
* energy: -41.78 eV/f.u.
* total moment: 0.0 μB/cell
* symmetry: C2/m (12)

The structure in Quantum ESPRESSO input format:
```
&SYSTEM
  ibrav = 0, nat = 10, ntyp = 4
/
ATOMIC_SPECIES
Sr 87.62 Sr.upf
H 1.01 H.upf
Pd 106.42 Pd.upf
Rh 102.91 Rh.upf
ATOMIC_POSITIONS crystal
Sr 0.2504 0.7496 0.0000
Sr 0.7496 0.2504 0.0000
H 0.2257 0.2257 0.9522
H 0.2379 0.2379 0.4990
H 0.2384 0.7616 0.5000
H 0.7616 0.2384 0.5000
H 0.7621 0.7621 0.5010
H 0.7743 0.7743 0.0478
Pd 0.5000 0.5000 0.5000
Rh 0.0000 0.0000 0.5000
CELL_PARAMETERS angstrom
3.7768 -3.7779 0.0000
3.7768 3.7779 0.0000
-3.7719 0.0000 3.9139
```


No. 4
# SrHPd2Rh

An optimized crystal structure of SrHPd2Rh (PBE, the Alexandria database). Values from VASP.

Results
* energy: -23.82 eV/f.u.
* total moment: 0.0 μB/cell
* symmetry: P4/mmm (123)

The structure in Quantum ESPRESSO input format:
```
&SYSTEM
  ibrav = 0, nat = 5, ntyp = 4
/
ATOMIC_SPECIES
Sr 87.62 Sr.upf
H 1.01 H.upf
Pd 106.42 Pd.upf
Rh 102.91 Rh.upf
ATOMIC_POSITIONS crystal
Sr 0.0000 0.0000 0.0000
H 0.5000 0.5000 0.5000
Pd 0.0000 0.5000 0.5000
Pd 0.5000 0.0000 0.5000
Rh 0.5000 0.5000 0.0000
CELL_PARAMETERS angstrom
4.4445 0.0000 0.0000
0.0000 4.4445 0.0000
0.0000 0.0000 3.8838
```


No. 5
# TaHPd2Rh

An optimized crystal structure of TaHPd2Rh (PBE, the Alexandria database). Values from VASP.

Results
* energy: -34.13 eV/f.u.
* excess energy over the best structure of this formula in the dataset: 0 meV/atom
* total moment: 0.0 μB/cell
* symmetry: P4/mmm (123)

The structure in Quantum ESPRESSO input format:
```
&SYSTEM
  ibrav = 0, nat = 5, ntyp = 4
/
ATOMIC_SPECIES
Ta 180.95 Ta.upf
H 1.01 H.upf
Pd 106.42 Pd.upf
Rh 102.91 Rh.upf
ATOMIC_POSITIONS crystal
Ta 0.0000 0.0000 0.0000
H 0.0000 0.0000 0.5000
Pd 0.0000 0.5000 0.5000
Pd 0.5000 0.0000 0.5000
Rh 0.5000 0.5000 0.0000
CELL_PARAMETERS angstrom
3.8913 0.0000 0.0000
0.0000 3.8913 0.0000
0.0000 0.0000 4.2490
```


No. 6
# TaHPd2Rh

An optimized crystal structure of TaHPd2Rh (PBE, the Alexandria database). Values from VASP.

Results
* energy: -29.54 eV/f.u.
* excess energy over the best structure of this formula in the dataset: 917 meV/atom
* total moment: 0.0 μB/cell
* symmetry: P4/mmm (123)

The structure in Quantum ESPRESSO input format:
```
&SYSTEM
  ibrav = 0, nat = 5, ntyp = 4
/
ATOMIC_SPECIES
Ta 180.95 Ta.upf
H 1.01 H.upf
Pd 106.42 Pd.upf
Rh 102.91 Rh.upf
ATOMIC_POSITIONS crystal
Ta 0.0000 0.0000 0.0000
H 0.0000 0.0000 0.5000
Pd 0.0000 0.5000 0.0000
Pd 0.5000 0.0000 0.0000
Rh 0.5000 0.5000 0.5000
CELL_PARAMETERS angstrom
4.8704 0.0000 0.0000
0.0000 4.8704 0.0000
0.0000 0.0000 3.3429
```


Repeat the first record exactly.
# SrH6PdRh

An optimized crystal structure of SrH6PdRh (PBE, the Alexandria database). Values from VASP.

Results
* energy: -37.03 eV/f.u.
* total moment: 0.0 μB/cell
* symmetry: C2 (5)

The structure in Quantum ESPRESSO input format:
```
&SYSTEM
  ibrav = 0, nat = 9, ntyp = 4
/
ATOMIC_SPECIES
Sr 87.62 Sr.upf
H 1.01 H.upf
Pd 106.42 Pd.upf
Rh 102.91 Rh.upf
ATOMIC_POSITIONS crystal
Sr 0.0000 0.0000 0.0000
H 0.2958 0.2790 0.4995
H 0.5179 0.0186 0.7411
H 0.5206 0.0187 0.2592
H 0.7210 0.7042 0.5005
H 0.9813 0.4794 0.7408
H 0.9814 0.4821 0.2589
Pd 0.3399 0.6601 0.5000
Rh 0.6607 0.3393 0.5000
CELL_PARAMETERS angstrom
2.4295 -4.5005 0.0000
2.4295 4.5005 0.0000
-0.0015 0.0000 4.1918
```


> energy of number 4 (SrHPd2Rh)?

-23.82 eV/f.u.